No. 1
# InBi2Se4Br

A geometry-optimized InBi2Se4Br structure (PBE, Alexandria).

It has space group C2/m (No. 12), with a = 13.501 Å, b = 4.083 Å, c = 10.120 Å, α = 90.00°, β = 120.84° and γ = 90.00°. The distinct sites, in fractional coordinates, are In at (0.000, 0.000, 0.000), Bi at (0.197, 0.000, 0.760), Se at (0.116, 0.500, 0.934), Se at (0.181, 0.000, 0.293) and Br at (0.000, 0.500, 0.500).

=====

No. 2
# InSi2BiBr

A geometry-optimized InSi2BiBr structure (PBE, Alexandria).

It has space group P4/mmm (No. 123), with a = 5.118 Å, b = 5.118 Å, c = 6.140 Å, α = 90.00°, β = 90.00° and γ = 90.00°. The distinct sites, in fractional coordinates, are In at (0.000, 0.000, 0.000), Si at (0.000, 0.500, 0.000), Bi at (0.000, 0.000, 0.500) and Br at (0.500, 0.500, 0.500).

=====

No. 3
# InSi2BiBr

A geometry-optimized InSi2BiBr structure (PBE, Alexandria).

It has space group P4/mmm (No. 123), with a = 5.494 Å, b = 5.494 Å, c = 5.983 Å, α = 90.00°, β = 90.00° and γ = 90.00°. The distinct sites, in fractional coordinates, are In at (0.000, 0.000, 0.000), Si at (0.000, 0.500, 0.500), Bi at (0.500, 0.500, 0.500) and Br at (0.500, 0.500, 0.000).

=====

no.,formation energy without anion corrections (eV per formula unit),magnetic moment (μB/f.u.)
1,-3.85,0.00
2,4.93,0.00
3,4.29,0.00